(1)
The following is a PBE-GGA calculation of YHfNiB after structural relaxation, from OQMD via LeMat-Bulk.

a = 4.5353 Å, b = 4.5353 Å, c = 4.5353 Å
α = 60.00°, β = 60.00°, γ = 60.00°
Closest atoms and distances in Å follow each position.
Sites, in units of the cell vectors:
Hf: 0.2500 0.2500 0.2500  4 Ni 2.78, 4 B 2.78
B: 0.0000 0.0000 0.0000  4 Y 2.78, 4 Hf 2.78
Ni: 0.5000 0.5000 0.5000  4 Hf 2.78, 4 Y 2.78
Y: 0.7500 0.7500 0.7500  4 Ni 2.78, 4 B 2.78

Final energy: -28.6 eV for the cell shown
Total moment: 0.01 μB/f.u.
Excess energy over the best structure of this formula in the dataset: 0.000 eV/atom


(2)
The following is a PBE-GGA calculation of PrDyCu2 after structural relaxation, from OQMD via LeMat-Bulk.

a = 4.5200 Å, b = 5.4795 Å, c = 7.2126 Å
α = 90.00°, β = 90.00°, γ = 90.00°
Closest atoms and distances in Å follow each position.
Sites, in units of the cell vectors:
Cu: 0.5000 0.6200 0.4655  2 Cu 2.68, 3 Pr 2.93
Dy: 0.0000 0.3855 0.6822  7 Cu 2.87-3.05
Cu: 0.0000 0.1305 0.0314  2 Cu 2.68, 2 Dy 2.87-2.88
Cu: 0.5000 0.3800 0.9655  2 Cu 2.68, 3 Pr 2.93
Pr: 0.5000 0.8806 0.8209  7 Cu 2.93-3.08
Pr: 0.5000 0.1194 0.3209  7 Cu 2.93-3.08
Cu: 0.0000 0.8695 0.5314  2 Cu 2.68, 2 Dy 2.87-2.88
Dy: 0.0000 0.6145 0.1822  7 Cu 2.87-3.05

Final energy: -35.3 eV for the cell shown
Total moment: 0.01 μB/f.u.
Formation energy from the elements: -0.204 eV per atom
Excess energy over the best structure of this formula in the dataset: 0.010 eV/atom


(3)
The following is a PBE-GGA calculation of Lu2MgBe after structural relaxation, from OQMD via LeMat-Bulk.

a = 5.0421 Å, b = 5.0421 Å, c = 5.0421 Å
α = 60.00°, β = 60.00°, γ = 60.00°
Closest atoms and distances in Å follow each position.
Sites, in units of the cell vectors:
Lu: 0.0000 0.0000 0.0000  4 Mg 3.09, 4 Lu 3.09
Be: 0.5000 0.5000 0.5000  4 Mg 3.09, 4 Lu 3.09
Lu: 0.7500 0.7500 0.7500  4 Be 3.09, 4 Lu 3.09
Mg: 0.2500 0.2500 0.2500  4 Be 3.09, 4 Lu 3.09

Final energy: -12.9 eV for the cell shown
Total moment: 0.00 μB/f.u.


(4)
The following is a PBE-GGA calculation of Gd2YCu2B2N3 after structural relaxation, from OQMD via LeMat-Bulk.

a = 10.5190 Å, b = 10.5190 Å, c = 10.5190 Å
α = 160.76°, β = 160.76°, γ = 27.34°
Closest atoms and distances in Å follow each position.
Sites, in units of the cell vectors:
Gd: 0.6215 0.6215 0.0000  5 N 2.48-2.49
B: 0.8154 0.8154 0.0000  1 N 1.44
Y: 0.0000 0.0000 0.0000  6 N 2.34-2.49
Gd: 0.3785 0.3785 0.0000  5 N 2.48-2.49
N: 0.5000 0.5000 0.0000  2 Gd 2.48, 4 Y 2.49
Cu: 0.7500 0.2500 0.5000  4 B 2.21
Cu: 0.2500 0.7500 0.5000  4 B 2.21
N: 0.8858 0.8858 0.0000  1 B 1.44
B: 0.1846 0.1846 0.0000  1 N 1.44
N: 0.1142 0.1142 0.0000  1 B 1.44

Final energy: -71.9 eV for the cell shown
Total moment: 0.01 μB/f.u.


(5)
The following is a PBE-GGA calculation of Na2Pr after structural relaxation, from OQMD via LeMat-Bulk.

a = 5.5299 Å, b = 5.5299 Å, c = 5.5299 Å
α = 60.00°, β = 60.00°, γ = 60.00°
Closest atoms and distances in Å follow each position.
Sites, in units of the cell vectors:
Na: 0.2500 0.2500 0.2500  4 Pr 3.39
Pr: 0.0000 0.0000 0.0000  8 Na 3.39
Na: 0.7500 0.7500 0.7500  4 Pr 3.39

Final energy: -5.0 eV for the cell shown
Total moment: 0.02 μB/f.u.
Excess energy over the best structure of this formula in the dataset: 0.526 eV/atom


(6)
The following is a PBE-GGA calculation of ScSi2Ir4 after structural relaxation, from OQMD via LeMat-Bulk.

a = 11.3906 Å, b = 4.0485 Å, c = 8.8905 Å
α = 90.00°, β = 90.00°, γ = 90.00°
Closest atoms and distances in Å follow each position.
Sites, in units of the cell vectors:
Si: 0.0667 0.2500 0.1227  7 Ir 2.44-2.60
Ir: 0.0589 0.2500 0.8306  4 Si 2.37-2.60
Si: 0.6380 0.2500 0.9154  7 Ir 2.37-2.58
Ir: 0.2713 0.2500 0.2038  3 Si 2.44-2.51, 2 Sc 2.69, 1 Ir 2.73
Ir: 0.4411 0.7500 0.3306  4 Si 2.37-2.60
Sc: 0.6736 0.7500 0.1412  4 Ir 2.69-2.84, 2 Si 2.88
Ir: 0.5589 0.2500 0.6694  4 Si 2.37-2.60
Ir: 0.4998 0.7500 0.8856  4 Si 2.37-2.58
Sc: 0.8264 0.2500 0.6412  4 Ir 2.69-2.84, 2 Si 2.88
Ir: 0.6619 0.7500 0.4904  3 Si 2.37-2.51
Ir: 0.5002 0.2500 0.1144  4 Si 2.37-2.58
Si: 0.3620 0.7500 0.0846  7 Ir 2.37-2.58
Ir: 0.9998 0.7500 0.6144  4 Si 2.37-2.58
Si: 0.1380 0.2500 0.5846  7 Ir 2.37-2.58
Ir: 0.0002 0.2500 0.3856  4 Si 2.37-2.58
Ir: 0.2287 0.7500 0.7038  3 Si 2.44-2.51, 2 Sc 2.69, 1 Ir 2.73
Ir: 0.8381 0.2500 0.9904  3 Si 2.37-2.51
Si: 0.4333 0.7500 0.6227  7 Ir 2.44-2.60
Sc: 0.3264 0.2500 0.8588  4 Ir 2.69-2.84, 2 Si 2.88
Si: 0.8620 0.7500 0.4154  7 Ir 2.37-2.58
Ir: 0.7713 0.2500 0.2962  3 Si 2.44-2.51, 2 Sc 2.69, 1 Ir 2.73
Ir: 0.3381 0.2500 0.5096  3 Si 2.37-2.51
Ir: 0.1619 0.7500 0.0096  3 Si 2.37-2.51
Si: 0.5667 0.2500 0.3773  7 Ir 2.44-2.60
Sc: 0.1736 0.7500 0.3588  4 Ir 2.69-2.84, 2 Si 2.88
Ir: 0.7287 0.7500 0.7962  3 Si 2.44-2.51, 2 Sc 2.69, 1 Ir 2.73
Ir: 0.9411 0.7500 0.1694  4 Si 2.37-2.60
Si: 0.9333 0.7500 0.8773  7 Ir 2.44-2.60

Final energy: -233.7 eV for the cell shown
Total moment: 0.00 μB/f.u.


(7)
The following is a PBE-GGA calculation of NaAg after structural relaxation, from OQMD via LeMat-Bulk.

a = 4.2190 Å, b = 4.2190 Å, c = 4.2190 Å
α = 60.00°, β = 60.00°, γ = 60.00°
Closest atoms and distances in Å follow each position.
Sites, in units of the cell vectors:
Na: 0.5000 0.5000 0.5000  6 Ag 2.98
Ag: 0.0000 0.0000 0.0000  6 Na 2.98

Final energy: -3.7 eV for the cell shown


(8)
The following is a PBE-GGA calculation of YCoMo2 after structural relaxation, from OQMD via LeMat-Bulk.

a = 4.5509 Å, b = 4.5509 Å, c = 4.5509 Å
α = 60.00°, β = 60.00°, γ = 60.00°
Closest atoms and distances in Å follow each position.
Sites, in units of the cell vectors:
Co: 0.2500 0.2500 0.2500  4 Y 2.79, 4 Mo 2.79
Mo: 0.0000 0.0000 0.0000  4 Mo 2.79, 4 Co 2.79
Y: 0.5000 0.5000 0.5000  4 Mo 2.79, 4 Co 2.79
Mo: 0.7500 0.7500 0.7500  4 Mo 2.79, 4 Y 2.79

Final energy: -34.1 eV for the cell shown
Total moment: 0.44 μB/f.u.
Formation energy from the elements: 0.293 eV per atom


(9)
The following is a PBE-GGA calculation of Ga2Mo after structural relaxation, from OQMD via LeMat-Bulk.

a = 4.9648 Å, b = 4.9648 Å, c = 4.9648 Å
α = 146.38°, β = 136.35°, γ = 56.20°
Closest atoms and distances in Å follow each position.
Sites, in units of the cell vectors:
Ga: 0.6647 0.6647 0.0000  5 Mo 2.75-2.94, 7 Ga 2.77-2.89
Ga: 0.3353 0.3353 0.0000  5 Mo 2.75-2.94, 7 Ga 2.77-2.89
Mo: 0.0000 0.0000 0.0000  10 Ga 2.75-2.94, 2 Mo 2.87

Final energy: -16.8 eV for the cell shown
Total moment: 0.01 μB/f.u.
Excess energy over the best structure of this formula in the dataset: 0.000 eV/atom


(10)
The following is a PBE-GGA calculation of HfCuBAu after structural relaxation, from OQMD via LeMat-Bulk.

a = 4.3823 Å, b = 4.3823 Å, c = 4.3823 Å
α = 60.00°, β = 60.00°, γ = 60.00°
Closest atoms and distances in Å follow each position.
Sites, in units of the cell vectors:
Cu: 0.7500 0.7500 0.7500  4 B 2.68, 4 Hf 2.68
B: 0.0000 0.0000 0.0000  4 Cu 2.68, 4 Au 2.68
Hf: 0.5000 0.5000 0.5000  4 Cu 2.68, 4 Au 2.68
Au: 0.2500 0.2500 0.2500  4 Hf 2.68, 4 B 2.68

Final energy: -21.9 eV for the cell shown
Total moment: 0.00 μB/f.u.
Excess energy over the best structure of this formula in the dataset: 0.229 eV/atom


(11)
The following is a PBE-GGA calculation of TbTlPO after structural relaxation, from OQMD via LeMat-Bulk.

a = 5.7401 Å, b = 5.7401 Å, c = 4.9453 Å
α = 90.00°, β = 90.00°, γ = 90.00°
Closest atoms and distances in Å follow each position.
Sites, in units of the cell vectors:
Tb: 0.7500 0.2500 0.5000  2 O 2.47
O: 0.2500 0.7500 0.0000  2 Tb 2.47
P: 0.7500 0.7500 0.4907  2 Tl 2.47-2.48
Tl: 0.7500 0.7500 0.9913  2 P 2.47-2.48
O: 0.7500 0.2500 0.0000  2 Tb 2.47
Tl: 0.2500 0.2500 0.0087  2 P 2.47-2.48
P: 0.2500 0.2500 0.5093  2 Tl 2.47-2.48
Tb: 0.2500 0.7500 0.5000  2 O 2.47

Final energy: -44.0 eV for the cell shown
Total moment: 0.00 μB/f.u.
Excess energy over the best structure of this formula in the dataset: 0.167 eV/atom


(12)
The following is a PBE-GGA calculation of NaAgGeTe2S after structural relaxation, from OQMD via LeMat-Bulk.

a = 6.6662 Å, b = 6.6662 Å, c = 11.2235 Å
α = 90.00°, β = 90.00°, γ = 143.16°
Closest atoms and distances in Å follow each position.
Sites, in units of the cell vectors:
Na: 0.2906 0.7094 0.2500  2 S 2.94, 2 Te 3.16
Te: 0.6574 0.3426 0.4747  1 Ag 2.78, 2 Ge 2.91
Ag: 0.5644 0.4356 0.2500  2 S 2.54, 2 Te 2.78
Ag: 0.4356 0.5644 0.7500  2 S 2.54, 2 Te 2.78
Te: 0.3426 0.6574 0.5253  1 Ag 2.78, 2 Ge 2.91
S: 0.0474 0.9526 0.7500  2 Ag 2.54
Ge: 0.0000 0.0000 0.5000  2 S 2.87, 4 Te 2.91
S: 0.9526 0.0474 0.2500  2 Ag 2.54
Te: 0.3426 0.6574 0.9747  1 Ag 2.78, 2 Ge 2.91
Ge: 0.0000 0.0000 0.0000  2 S 2.87, 4 Te 2.91
Te: 0.6574 0.3426 0.0253  1 Ag 2.78, 2 Ge 2.91
Na: 0.7094 0.2906 0.7500  2 S 2.94, 2 Te 3.16

Final energy: -41.1 eV for the cell shown


Repeat the fifth record exactly.
The following is a PBE-GGA calculation of Na2Pr after structural relaxation, from OQMD via LeMat-Bulk.

a = 5.5299 Å, b = 5.5299 Å, c = 5.5299 Å
α = 60.00°, β = 60.00°, γ = 60.00°
Closest atoms and distances in Å follow each position.
Sites, in units of the cell vectors:
Na: 0.2500 0.2500 0.2500  4 Pr 3.39
Pr: 0.0000 0.0000 0.0000  8 Na 3.39
Na: 0.7500 0.7500 0.7500  4 Pr 3.39

Final energy: -5.0 eV for the cell shown
Total moment: 0.02 μB/f.u.
Excess energy over the best structure of this formula in the dataset: 0.526 eV/atom


Q: What is the formula in the seventh record?
A: NaAg